# 1
Sm6RuAu2 (PBE, relaxed); spin magnetization = 0.00 μB per cell; crystal system = monoclinic; DOS at the Fermi energy = 18.0 states/eV/cell; calculated formation energy = -0.427 eV per atom
1.0
-2.804 -6.191 0.754
6.844 -3.056 0.363
0.113 1.472 10.241
Sm Ru Au
12 2 4
direct
0.361 0.529 0.749
0.671 0.186 0.563
0.171 0.314 0.063
0.829 0.686 0.937
0.639 0.471 0.251
0.861 0.971 0.249
0.139 0.029 0.751
0.178 0.317 0.435
0.678 0.183 0.935
0.329 0.814 0.437
0.322 0.817 0.065
0.822 0.683 0.565
0.000 0.000 0.500
0.500 0.500 0.000
0.054 0.610 0.242
0.446 0.110 0.258
0.946 0.390 0.758
0.554 0.890 0.742

# 2
Sm8Ru2Au (PBE, relaxed); spin magnetization = 0.00 μB per cell; crystal system = monoclinic; DOS at the Fermi energy = 13.8 states/eV/cell; calculated formation energy = -0.200 eV per atom
1.0
5.801 -0.081 -0.122
-1.073 7.725 -0.103
-1.073 -3.071 7.089
Ru Sm Au
2 8 1
direct
0.000 0.695 0.305
0.000 0.305 0.695
0.500 0.234 0.766
0.699 0.377 0.377
0.907 0.928 0.668
0.301 0.623 0.623
0.500 0.766 0.234
0.093 0.332 0.072
0.907 0.668 0.928
0.093 0.072 0.332
0.500 0.000 0.000

# 3
Sm5RuAu4 (PBE, relaxed); spin magnetization = 0.00 μB per cell; crystal system = tetragonal; DOS at the Fermi energy = 6.1 states/eV/cell; calculated formation energy = -0.686 eV per atom
1.0
3.604 0.000 0.000
0.000 3.604 0.000
0.000 0.000 18.473
Sm Au Ru
5 4 1
direct
0.500 0.500 0.908
0.500 0.500 0.500
0.500 0.500 0.296
0.500 0.500 0.704
0.500 0.500 0.092
0.000 0.000 0.399
0.000 0.000 0.805
0.000 0.000 0.601
0.000 0.000 0.195
0.000 0.000 0.000

# 4
Sm8Ru3Au2 (PBE, relaxed); spin magnetization = 0.00 μB per cell; crystal system = orthorhombic; DOS at the Fermi energy = 9.4 states/eV/cell; calculated formation energy = -0.364 eV per atom
1.0
-0.183 -0.914 4.859
7.027 -6.970 -1.046
1.564 8.433 1.645
Sm Ru Au
8 3 2
direct
0.000 0.615 0.230
0.500 0.869 0.232
0.500 0.363 0.232
0.000 0.385 0.770
0.000 0.882 0.764
0.000 0.118 0.236
0.500 0.131 0.768
0.500 0.637 0.768
0.000 0.249 0.000
0.500 0.000 0.000
0.000 0.751 0.000
0.500 0.745 0.490
0.500 0.255 0.510

# 5
Sm5RuAu2 (PBE, relaxed); spin magnetization = 0.00 μB per cell; crystal system = orthorhombic; DOS at the Fermi energy = 15.6 states/eV/cell; calculated formation energy = -0.532 eV per atom
1.0
4.227 0.000 0.000
0.000 8.528 0.000
0.000 0.000 12.172
Sm Au Ru
10 4 2
direct
0.000 0.000 0.500
0.500 0.179 0.081
0.500 0.321 0.581
0.500 0.821 0.919
0.000 0.151 0.802
0.500 0.679 0.419
0.000 0.651 0.698
0.000 0.349 0.302
0.000 0.500 0.000
0.000 0.849 0.198
0.500 0.437 0.826
0.500 0.937 0.674
0.500 0.563 0.174
0.500 0.063 0.326
0.000 0.000 0.000
0.000 0.500 0.500

# 6
Sm12Ru6Au (PBE, relaxed); spin magnetization = 0.00 μB per cell; crystal system = cubic; DOS at the Fermi energy = 16.6 states/eV/cell; calculated formation energy = -0.243 eV per atom
1.0
8.146 0.000 -2.880
-4.073 7.055 -2.880
0.000 0.000 8.640
Sm Ru Au
12 6 1
direct
0.805 0.705 0.509
0.509 0.805 0.705
0.295 0.491 0.195
0.900 0.195 0.705
0.295 0.100 0.805
0.491 0.195 0.295
0.195 0.295 0.491
0.195 0.705 0.900
0.100 0.805 0.295
0.805 0.295 0.100
0.705 0.900 0.195
0.705 0.509 0.805
0.500 0.877 0.377
0.877 0.377 0.500
0.377 0.500 0.877
0.623 0.500 0.123
0.500 0.123 0.623
0.123 0.623 0.500
0.000 0.000 0.000

# 7
SmThRuAu (PBE, relaxed); spin magnetization = 0.00 μB per cell; crystal system = cubic; DOS at the Fermi energy = 3.5 states/eV/cell; calculated formation energy = -0.455 eV per atom
1.0
5.105 0.000 0.000
2.552 4.421 0.000
2.552 1.474 4.168
Ru Au Th Sm
1 1 1 1
direct
0.250 0.250 0.250
0.750 0.750 0.750
0.500 0.500 0.500
0.000 0.000 0.000

# 8
SmTmRuAu (PBE, relaxed); spin magnetization = 0.00 μB per cell; crystal system = cubic; DOS at the Fermi energy = 2.3 states/eV/cell; calculated formation energy = -0.545 eV per atom
1.0
4.972 0.000 0.000
2.486 4.306 0.000
2.486 1.435 4.060
Ru Au Sm Tm
1 1 1 1
direct
0.750 0.750 0.750
0.250 0.250 0.250
0.000 0.000 0.000
0.500 0.500 0.500

# 9
SmYRuAu (PBE, relaxed); spin magnetization = 0.00 μB per cell; energy above the most stable polymorph in this dataset = 67.7 meV/atom; crystal system = cubic; DOS at the Fermi energy = 2.7 states/eV/cell; calculated formation energy = -0.516 eV per atom
1.0
5.010 0.000 0.000
2.505 4.339 0.000
2.505 1.446 4.091
Au Ru Sm Y
1 1 1 1
direct
0.250 0.250 0.250
0.750 0.750 0.750
0.000 0.000 0.000
0.500 0.500 0.500

# 10
SmYRuAu (PBE, relaxed); spin magnetization = 0.00 μB per cell; energy above the most stable polymorph in this dataset = 0.0 meV/atom; crystal system = tetragonal; DOS at the Fermi energy = 2.5 states/eV/cell; calculated formation energy = -0.584 eV per atom
1.0
3.479 0.000 0.000
0.000 3.479 0.000
0.000 0.000 7.362
Au Ru Sm Y
1 1 1 1
direct
0.500 0.500 0.599
0.500 0.500 0.112
0.000 0.000 0.877
0.000 0.000 0.340

# 11
SmZrRuAu (PBE, relaxed); spin magnetization = 0.00 μB per cell; crystal system = cubic; DOS at the Fermi energy = 4.7 states/eV/cell; calculated formation energy = -0.384 eV per atom
1.0
-1.418 -2.918 3.674
1.391 -4.699 0.074
3.270 -1.536 3.311
Au Ru Sm Zr
1 1 1 1
direct
0.250 0.250 0.250
0.750 0.750 0.750
0.500 0.500 0.500
0.000 0.000 0.000

# 12
Sn2Ru2Au (PBE, relaxed); spin magnetization = 0.00 μB per cell; energy above the most stable polymorph in this dataset = 0.0 meV/atom; crystal system = tetragonal; DOS at the Fermi energy = 4.5 states/eV/cell; calculated formation energy = -0.031 eV per atom
1.0
-4.205 4.815 3.936
-6.025 -4.333 -1.137
0.669 -1.646 2.728
Ru Sn Au
4 4 2
direct
0.359 0.859 0.000
0.859 0.641 0.000
0.641 0.141 0.000
0.141 0.359 0.000
0.343 0.157 0.500
0.843 0.343 0.500
0.157 0.657 0.500
0.657 0.843 0.500
0.000 0.000 0.000
0.500 0.500 0.000